(1)
PBE TaSb, relaxed; final energy = -7.93 eV/atom; V = 188.7 Å³/cell
1.0
5.540 0.000 0.000
0.000 4.608 0.000
0.000 0.000 7.393
Ta Sb
4 4
direct
0.000 0.000 0.000
0.250 0.500 0.149
0.500 0.000 0.000
0.750 0.500 0.851
0.250 0.000 0.371
0.250 0.500 0.762
0.750 0.000 0.629
0.750 0.500 0.238

=====

(2)
PBE Ta2Sb, relaxed; final energy = -5.69 eV/atom; V = 505.7 Å³/cell
1.0
0.000 6.324 6.324
6.324 0.000 6.324
6.324 6.324 0.000
Ta Sb
4 2
direct
0.000 0.000 0.000
0.000 0.000 0.500
0.000 0.500 0.000
0.500 0.000 0.000
0.125 0.125 0.125
0.875 0.875 0.875

=====

(3)
PBE TaSb, relaxed; final energy = -6.82 eV/atom; V = 61.9 Å³/cell
1.0
0.000 3.139 3.139
3.139 0.000 3.139
3.139 3.139 0.000
Ta Sb
1 1
direct
0.000 0.000 0.000
0.250 0.250 0.250

=====

(4)
PBE TaSb2, relaxed; final energy = -5.50 eV/atom; V = 146.2 Å³/cell
1.0
0.000 4.181 4.181
4.181 0.000 4.181
4.181 4.181 0.000
Ta Sb
2 4
direct
0.125 0.125 0.125
0.875 0.875 0.875
0.000 0.500 0.500
0.500 0.000 0.500
0.500 0.500 0.000
0.500 0.500 0.500